#one
Density functional theory data (PBE) for a relaxed structure of InPt15. Values from VASP.

Values from the calculation:
Space-group type: No. 13

Geometry as Quantum ESPRESSO input:
```
&SYSTEM
  ibrav = 0, nat = 32, ntyp = 2
/
ATOMIC_SPECIES
In 114.82 In.upf
Pt 195.08 Pt.upf
CELL_PARAMETERS angstrom
4.8220 0.0000 0.0000
0.0000 36.6260 0.0000
-1.6229 0.0000 4.5417
ATOMIC_POSITIONS angstrom
In -0.4057 7.4903 1.1354
In -1.2171 29.1356 3.4063
Pt -1.2171 9.0096 3.4063
Pt -0.4057 10.5136 1.1354
Pt -1.2171 11.9295 3.4063
Pt -0.4057 13.3641 1.1354
Pt -1.2171 14.7754 3.4063
Pt -0.4057 16.1948 1.1354
Pt -1.2171 17.6072 3.4063
Pt -0.4057 19.0188 1.1354
Pt -1.2171 20.4312 3.4063
Pt -0.4057 21.8506 1.1354
Pt -1.2171 23.2619 3.4063
Pt -0.4057 24.6965 1.1354
Pt -1.2171 26.1124 3.4063
Pt -0.4057 27.6164 1.1354
Pt 1.1938 7.7477 3.4063
Pt 2.0053 9.0103 1.1354
Pt 1.1938 10.5176 3.4063
Pt 2.0053 11.9282 1.1354
Pt 1.1938 13.3568 3.4063
Pt 2.0053 14.7762 1.1354
Pt 1.1938 16.1848 3.4063
Pt 2.0053 17.6102 1.1354
Pt 1.1938 19.0158 3.4063
Pt 2.0053 20.4412 1.1354
Pt 1.1938 21.8498 3.4063
Pt 2.0053 23.2692 1.1354
Pt 1.1938 24.6978 3.4063
Pt 2.0053 26.1084 1.1354
Pt 1.1938 27.6157 3.4063
Pt 2.0053 28.8783 1.1354
```

---

#two
Density functional theory data (PBE) for a relaxed structure of InPt15. Values from VASP.

Values from the calculation:
Space-group type: No. 11

Geometry as Quantum ESPRESSO input:
```
&SYSTEM
  ibrav = 0, nat = 32, ntyp = 2
/
ATOMIC_SPECIES
In 114.82 In.upf
Pt 195.08 Pt.upf
CELL_PARAMETERS angstrom
5.5607 0.0000 0.0000
0.0000 2.8232 0.0000
-0.0037 0.0000 45.1538
ATOMIC_POSITIONS angstrom
In 0.6937 0.7058 15.1488
In 4.8634 2.1174 30.0050
Pt 0.6820 0.7058 32.1994
Pt 0.6864 0.7058 36.2009
Pt 0.6948 0.7058 2.9906
Pt 0.6947 0.7058 6.9730
Pt 0.6942 0.7058 10.9667
Pt 0.6903 0.7058 40.1715
Pt 0.6910 0.7058 44.1570
Pt 2.0745 2.1174 12.9540
Pt 2.0793 2.1174 8.9528
Pt 2.0851 2.1174 0.9962
Pt 2.0837 2.1174 4.9818
Pt 2.0830 2.1174 30.2418
Pt 2.0823 2.1174 34.2377
Pt 2.0819 2.1174 38.1881
Pt 2.0817 2.1174 42.1640
Pt 3.4753 0.7058 2.9898
Pt 3.4751 0.7058 6.9657
Pt 3.4748 0.7058 10.9161
Pt 3.4740 0.7058 14.9120
Pt 3.4733 0.7058 40.1720
Pt 3.4719 0.7058 44.1576
Pt 3.4777 0.7058 36.2010
Pt 3.4826 0.7058 32.1999
Pt 4.8661 2.1174 0.9968
Pt 4.8667 2.1174 4.9823
Pt 4.8629 2.1174 34.1871
Pt 4.8623 2.1174 38.1808
Pt 4.8622 2.1174 42.1632
Pt 4.8706 2.1174 8.9530
Pt 4.8751 2.1174 12.9544
```

---

Here is how they stack up, most stable first: #two, #one.

---

#one
Density functional theory data (PBE) for a relaxed structure of RbInPt. Values from VASP.

Values from the calculation:
Space-group type: No. 216

Geometry as Quantum ESPRESSO input:
```
&SYSTEM
  ibrav = 0, nat = 3, ntyp = 3
/
ATOMIC_SPECIES
Rb 85.47 Rb.upf
In 114.82 In.upf
Pt 195.08 Pt.upf
CELL_PARAMETERS angstrom
0.0000 3.7161 3.7161
3.7161 0.0000 3.7161
3.7161 3.7161 0.0000
ATOMIC_POSITIONS angstrom
Rb 0.0000 0.0000 0.0000
In 5.5742 5.5742 5.5742
Pt 1.8581 1.8581 1.8581
```

---

#two
Density functional theory data (PBE) for a relaxed structure of RbInPt. Values from VASP.

Values from the calculation:
Space-group type: No. 216

Geometry as Quantum ESPRESSO input:
```
&SYSTEM
  ibrav = 0, nat = 3, ntyp = 3
/
ATOMIC_SPECIES
Rb 85.47 Rb.upf
In 114.82 In.upf
Pt 195.08 Pt.upf
CELL_PARAMETERS angstrom
0.0000 3.5899 3.5899
3.5899 0.0000 3.5899
3.5899 3.5899 0.0000
ATOMIC_POSITIONS angstrom
Rb 0.0000 0.0000 0.0000
In 3.5899 3.5899 3.5899
Pt 5.3849 5.3849 5.3849
```

---

Here is how they stack up, most stable first: #two, #one.